1.
VASP calculation (PBE) on a relaxed structure of CePm2TmAs4.

Summary:
E_tot   -6.307 eV per atom
DOS(E_F)   0.77 states/eV per atom
ΔH_f (0 K)   -34.45 kcal/mol of atoms

a = 4.189 Å, b = 7.259 Å, c = 7.240 Å
α = 70.60°, β = 90.00°, γ = 90.00°
Element x y z (fractional)
As 0.500 0.741 0.255
As 0.500 0.259 0.745
As 0.000 0.743 0.749
As 0.000 0.257 0.251
Ce 0.500 0.500 0.000
Tm 0.000 0.500 0.500
Pm 0.500 0.000 0.500
Pm 0.000 0.000 0.000



2.
VASP calculation (PBE) on a relaxed structure of CePmU2As4.

Summary:
E_tot   -7.582 eV per atom
DOS(E_F)   1.81 states/eV per atom
ΔH_f (0 K)   -25.35 kcal/mol of atoms

a = 4.123 Å, b = 7.145 Å, c = 7.306 Å
α = 109.03°, β = 90.00°, γ = 90.00°
Element x y z (fractional)
As 0.000 0.247 0.741
As 0.500 0.254 0.260
As 0.500 0.746 0.740
As 0.000 0.753 0.259
Ce 0.500 0.500 0.000
U 0.000 0.500 0.500
U 0.500 0.000 0.500
Pm 0.000 0.000 0.000



3.
VASP calculation (PBE) on a relaxed structure of Ce3Pm2YAs6.

Summary:
E_tot   -6.623 eV per atom
DOS(E_F)   1.37 states/eV per atom
ΔH_f (0 K)   -34.24 kcal/mol of atoms

a = 7.291 Å, b = 7.291 Å, c = 7.286 Å
α = 99.61°, β = 99.61°, γ = 120.00°
Element x y z (fractional)
As 0.754 0.754 0.252
As 0.246 0.246 0.748
As 0.084 0.413 0.251
As 0.413 0.084 0.251
As 0.587 0.916 0.749
As 0.916 0.587 0.749
Ce 0.832 0.168 0.500
Ce 0.500 0.500 0.500
Ce 0.168 0.832 0.500
Y 0.000 0.000 0.000
Pm 0.666 0.334 0.000
Pm 0.334 0.666 0.000



4.
VASP calculation (PBE) on a relaxed structure of CePm3Y2As6.

Summary:
E_tot   -6.608 eV per atom
DOS(E_F)   0.50 states/eV per atom
ΔH_f (0 K)   -35.13 kcal/mol of atoms

a = 4.199 Å, b = 8.395 Å, c = 9.376 Å
α = 103.00°, β = 102.94°, γ = 90.00°
Element x y z (fractional)
As 0.335 0.913 0.669
As 0.668 0.579 0.336
As 0.332 0.421 0.664
As 0.002 0.248 0.003
As 0.665 0.087 0.331
As 0.998 0.752 0.997
Pm 0.500 0.500 0.000
Pm 0.167 0.831 0.335
Pm 0.833 0.169 0.665
Ce 0.500 0.000 0.000
Y 0.168 0.335 0.336
Y 0.832 0.665 0.664



5.
VASP calculation (PBE) on a relaxed structure of Ce2Pm3YAs6.

Summary:
E_tot   -6.543 eV per atom
DOS(E_F)   0.95 states/eV per atom
ΔH_f (0 K)   -34.66 kcal/mol of atoms

a = 4.213 Å, b = 8.426 Å, c = 9.413 Å
α = 102.97°, β = 102.93°, γ = 90.00°
Element x y z (fractional)
As 0.665 0.085 0.330
As 0.668 0.581 0.335
As 0.335 0.915 0.670
As 0.999 0.754 0.998
As 0.332 0.419 0.665
As 0.001 0.246 0.002
Pm 0.500 0.500 0.000
Pm 0.834 0.166 0.667
Pm 0.166 0.834 0.333
Y 0.500 0.000 0.000
Ce 0.834 0.668 0.669
Ce 0.166 0.332 0.331



6.
VASP calculation (PBE) on a relaxed structure of Ce3PmY2As6.

Summary:
E_tot   -6.770 eV per atom
DOS(E_F)   1.43 states/eV per atom
ΔH_f (0 K)   -34.32 kcal/mol of atoms

a = 7.261 Å, b = 7.261 Å, c = 7.250 Å
α = 99.62°, β = 99.62°, γ = 120.00°
Element x y z (fractional)
As 0.254 0.254 0.752
As 0.917 0.580 0.751
As 0.420 0.083 0.249
As 0.746 0.746 0.248
As 0.580 0.917 0.751
As 0.083 0.420 0.249
Pm 0.000 0.000 0.000
Y 0.333 0.667 0.000
Y 0.667 0.333 0.000
Ce 0.500 0.500 0.500
Ce 0.834 0.166 0.500
Ce 0.166 0.834 0.500